# Pm4BiIr2

An optimized crystal structure of Pm4BiIr2 (PBE, Alexandria via LeMat-Bulk).

Calculated formation energy in eV per atom: -0.561
Raw total energy in eV per atom: -6.36

a = 9.4338 Å, b = 9.4480 Å, c = 9.9070 Å
α = 90.00°, β = 90.00°, γ = 90.00°
With the nearest neighbours (Å) after each atom.
Space group Imma (No. 74)
Symmetry-distinct sites (fractional):
1 Pm 0.0000 0.0661 0.2257 (multiplicity 8)  3 Ir 2.79-2.94
2 Pm 0.1841 0.2500 0.5243 (multiplicity 8)  3 Ir 2.79-2.94
3 Bi 0.0000 0.2500 0.8739 (multiplicity 4)  4 Pm 3.15
4 Ir 0.0000 0.0000 0.5000 (multiplicity 4)  6 Pm 2.79-2.94
5 Ir 0.2500 0.2500 0.2500 (multiplicity 4)  6 Pm 2.79-2.94